# Ac5Cu2Hg, relaxed, DFT PBE-GGA
# Total energy   -3.781 eV per atom
data_Ac5Cu2Hg
_symmetry_space_group_name_H-M 'P 1'
_symmetry_Int_Tables_number 1
_symmetry_space_group_name_Hall 'P 1'
_cell_length_a 8.644
_cell_length_b 8.644
_cell_length_c 9.344
_cell_angle_alpha 117.55
_cell_angle_beta 117.55
_cell_angle_gamma 90.00
loop_
_atom_site_label
_atom_site_type_symbol
_atom_site_fract_x
_atom_site_fract_y
_atom_site_fract_z
_atom_site_occupancy
Ac1 Ac 0.513 0.702 0.715 1
Ac2 Ac 0.798 0.987 0.285 1
Ac3 Ac 0.000 0.000 0.000 1
Ac4 Ac 0.500 0.500 0.000 1
Ac5 Ac 0.202 0.013 0.715 1
Ac6 Ac 0.702 0.202 0.715 1
Ac7 Ac 0.013 0.513 0.715 1
Ac8 Ac 0.298 0.798 0.285 1
Ac9 Ac 0.987 0.487 0.285 1
Ac10 Ac 0.487 0.298 0.285 1
Cu1 Cu 0.127 0.373 0.000 1
Cu2 Cu 0.627 0.127 0.000 1
Cu3 Cu 0.373 0.873 0.000 1
Cu4 Cu 0.873 0.627 0.000 1
Hg1 Hg 0.750 0.750 0.500 1
Hg2 Hg 0.250 0.250 0.500 1

# Ac8CuHg2, relaxed, DFT PBE-GGA
# Total energy   -3.551 eV per atom
data_Ac8CuHg2
_symmetry_space_group_name_H-M 'P 1'
_symmetry_Int_Tables_number 1
_symmetry_space_group_name_Hall 'P 1'
_cell_length_a 5.624
_cell_length_b 7.534
_cell_length_c 10.366
_cell_angle_alpha 102.00
_cell_angle_beta 105.74
_cell_angle_gamma 90.00
loop_
_atom_site_label
_atom_site_type_symbol
_atom_site_fract_x
_atom_site_fract_y
_atom_site_fract_z
_atom_site_occupancy
Ac1 Ac 0.410 0.549 0.821 1
Ac2 Ac 0.656 0.973 0.311 1
Ac3 Ac 0.796 0.679 0.592 1
Ac4 Ac 0.979 0.225 0.957 1
Ac5 Ac 0.204 0.321 0.408 1
Ac6 Ac 0.344 0.027 0.689 1
Ac7 Ac 0.590 0.451 0.179 1
Ac8 Ac 0.021 0.775 0.043 1
Cu1 Cu 0.500 0.000 0.000 1
Hg1 Hg 0.813 0.255 0.626 1
Hg2 Hg 0.187 0.745 0.374 1

# Ac4Cu2Hg5, relaxed, DFT PBE-GGA
# Total energy   -2.732 eV per atom
data_Ac4Cu2Hg5
_symmetry_space_group_name_H-M 'P 1'
_symmetry_Int_Tables_number 1
_symmetry_space_group_name_Hall 'P 1'
_cell_length_a 4.145
_cell_length_b 8.123
_cell_length_c 9.699
_cell_angle_alpha 88.33
_cell_angle_beta 90.00
_cell_angle_gamma 90.00
loop_
_atom_site_label
_atom_site_type_symbol
_atom_site_fract_x
_atom_site_fract_y
_atom_site_fract_z
_atom_site_occupancy
Ac1 Ac 0.500 0.759 0.601 1
Ac2 Ac 0.500 0.203 0.855 1
Ac3 Ac 0.500 0.241 0.399 1
Ac4 Ac 0.500 0.797 0.145 1
Cu1 Cu 0.000 0.063 0.617 1
Cu2 Cu 0.000 0.937 0.383 1
Hg1 Hg 0.000 0.584 0.353 1
Hg2 Hg 0.000 0.136 0.133 1
Hg3 Hg 0.000 0.500 0.000 1
Hg4 Hg 0.000 0.864 0.867 1
Hg5 Hg 0.000 0.416 0.647 1

# AcCu4Hg, relaxed, DFT PBE-GGA
# Total energy   -3.580 eV per atom
data_AcCu4Hg
_symmetry_space_group_name_H-M 'P 1'
_symmetry_Int_Tables_number 1
_symmetry_space_group_name_Hall 'P 1'
_cell_length_a 5.333
_cell_length_b 5.333
_cell_length_c 5.333
_cell_angle_alpha 60.00
_cell_angle_beta 60.00
_cell_angle_gamma 60.00
loop_
_atom_site_label
_atom_site_type_symbol
_atom_site_fract_x
_atom_site_fract_y
_atom_site_fract_z
_atom_site_occupancy
Ac1 Ac 0.250 0.250 0.250 1
Hg1 Hg 0.000 0.000 0.000 1
Cu1 Cu 0.628 0.628 0.117 1
Cu2 Cu 0.628 0.117 0.628 1
Cu3 Cu 0.628 0.628 0.628 1
Cu4 Cu 0.117 0.628 0.628 1

Record-wise calculated formation energy values, in eV per atom: -0.1516; -0.1360; -0.3564; -0.1145